VASP calculation (PBE-GGA) on a geometry-optimized TbNi4Pd structure.

The structure in CIF format:
```
data_TbNi4Pd
_chemical_formula_sum 'Tb4 Ni16 Pd4'
_space_group_name_H-M_alt 'F -4 3 m'
_space_group_IT_number 216
_space_group_name_Hall 'F -4 2 3'
_cell_length_a 6.942
_cell_length_b 6.942
_cell_length_c 6.942
_cell_angle_alpha 90.00
_cell_angle_beta 90.00
_cell_angle_gamma 90.00
loop_
_atom_site_label
_atom_site_type_symbol
_atom_site_fract_x
_atom_site_fract_y
_atom_site_fract_z
_atom_site_occupancy
Tb1 Tb 0.000 0.000 0.000 1
Ni1 Ni 0.124 0.124 0.376 1
Pd1 Pd 0.250 0.250 0.750 1
```

Calculated values
**Volume**: 13.94 A^3/atom
**DOS(E_F)**: 28.7 states/eV/cell
**Calculated formation energy**: -0.3467 eV per atom
**Magnetic moment**: 0.91 μB/f.u.